The following is a DFT calculation (PBE) of Zn3PH after structural relaxation.

a = 4.7459 Å, b = 4.7459 Å, c = 4.7459 Å
α = 90.00°, β = 90.00°, γ = 90.00°
Element x y z (fractional)
Zn  0.5000  0.0000  0.0000
Zn  0.0000  0.0000  0.5000
Zn  0.0000  0.5000  0.0000
P  0.0000  0.0000  0.0000
H  0.5000  0.5000  0.5000

- crystal system = cubic
- total magnetic moment (μB/cell) = 0.0
- energy (eV/atom) = -1.856



The following is a DFT calculation (PBE) of Al2PbSe after structural relaxation.

a = 7.7310 Å, b = 7.7310 Å, c = 7.7310 Å
α = 28.54°, β = 28.54°, γ = 28.54°
Element x y z (fractional)
Al  0.4902  0.4902  0.4902
Al  0.0098  0.0098  0.0098
Se  0.7500  0.7500  0.7500
Pb  0.2500  0.2500  0.2500

- crystal system = trigonal
- E_form (uncorrected) (eV/atom) = -0.05
- total magnetic moment (μB/cell) = 0.0
- energy (eV/atom) = -3.719



The following is a DFT calculation (PBE) of Dy2ZnGe2Ir5 after structural relaxation.

a = 3.6033 Å, b = 9.6993 Å, c = 9.6993 Å
α = 90.00°, β = 90.00°, γ = 90.00°
Element x y z (fractional)
Zn  0.0000  0.0000  0.0000
Zn  0.0000  0.5000  0.5000
Dy  0.0000  0.1731  0.3269
Dy  0.0000  0.8269  0.6731
Dy  0.0000  0.3269  0.8269
Dy  0.0000  0.6731  0.1731
Ir  0.5000  0.0646  0.7955
Ir  0.5000  0.2045  0.0646
Ir  0.5000  0.9354  0.2045
Ir  0.5000  0.0000  0.5000
Ir  0.5000  0.4354  0.2955
Ir  0.5000  0.5646  0.7045
Ir  0.5000  0.7955  0.9354
Ir  0.5000  0.5000  0.0000
Ir  0.5000  0.7045  0.4354
Ir  0.5000  0.2955  0.5646
Ge  0.0000  0.3728  0.1272
Ge  0.0000  0.8728  0.3728
Ge  0.0000  0.1272  0.6272
Ge  0.0000  0.6272  0.8728

- energy of formation from the pure elements (eV per atom) = -0.582
- crystal system = tetragonal
- total magnetic moment (μB/cell) = 0.0
- energy (eV/atom) = -6.983



The following is a DFT calculation (PBE) of ZrAg2Pd2 after structural relaxation.

a = 7.6815 Å, b = 7.6815 Å, c = 3.0494 Å
α = 90.00°, β = 90.00°, γ = 90.00°
Element x y z (fractional)
Ag  0.8743  0.6257  0.0000
Ag  0.1257  0.3743  0.0000
Ag  0.6257  0.1257  0.0000
Ag  0.3743  0.8743  0.0000
Pd  0.6725  0.8275  0.5000
Pd  0.8275  0.3275  0.5000
Pd  0.3275  0.1725  0.5000
Pd  0.1725  0.6725  0.5000
Zr  0.5000  0.5000  0.0000
Zr  0.0000  0.0000  0.0000

- energy of formation from the pure elements (eV per atom) = -0.092
- crystal system = tetragonal
- total magnetic moment (μB/cell) = 0.0
- energy (eV/atom) = -5.019



The following is a DFT calculation (PBE) of Er3RuO6 after structural relaxation.

a = 6.4471 Å, b = 6.4471 Å, c = 6.4471 Å
α = 98.09°, β = 98.09°, γ = 98.09°
Each line ends with the local moment (μB).
Element x y z (fractional)
O  0.8074  0.4196  0.5654  0.01
O  0.4196  0.5654  0.8074  0.01
O  0.3073  0.9452  0.0615  0.05
O  0.9385  0.6927  0.0548  0.05
O  0.0548  0.9385  0.6927  0.05
O  0.5654  0.8074  0.4196  0.01
O  0.6927  0.0548  0.9385  0.05
O  0.5804  0.4346  0.1926  0.01
O  0.4346  0.1926  0.5804  0.01
O  0.1926  0.5804  0.4346  0.01
O  0.0615  0.3073  0.9452  0.05
O  0.9452  0.0615  0.3073  0.05
Er  0.7148  0.3992  0.8866  0.01
Er  0.1134  0.2852  0.6008  0.01
Er  0.8866  0.7148  0.3992  0.01
Er  0.3992  0.8866  0.7148  0.01
Er  0.2852  0.6008  0.1134  0.01
Er  0.6008  0.1134  0.2852  0.01
Ru  0.0000  0.0000  0.0000  1.51
Ru  0.5000  0.5000  0.5000  0.04

- crystal system = trigonal
- E_form (uncorrected) (eV/atom) = -2.88
- total magnetic moment (μB/cell) = 2.0
- energy (eV/atom) = -8.149



The following is a DFT calculation (PBE) of NdSm2Th after structural relaxation.

a = 3.5588 Å, b = 3.5588 Å, c = 12.6999 Å
α = 81.95°, β = 81.95°, γ = 60.00°
Element x y z (fractional)
Sm  0.9084  0.9084  0.2747
Sm  0.0916  0.0916  0.7253
Th  0.5000  0.5000  0.5000
Nd  0.0000  0.0000  0.0000

- energy of formation from the pure elements (eV per atom) = 0.136
- crystal system = trigonal
- total magnetic moment (μB/cell) = 0.0
- energy (eV/atom) = -5.271



The following is a DFT calculation (PBE) of PrNd2Ga2 after structural relaxation.

a = 3.8332 Å, b = 6.0956 Å, c = 6.5941 Å
α = 101.72°, β = 106.90°, γ = 90.00°
Element x y z (fractional)
Ga  0.2929  0.8940  0.5859
Ga  0.7071  0.1060  0.4141
Nd  0.3640  0.4327  0.7281
Nd  0.6360  0.5673  0.2719
Pr  0.0000  0.0000  0.0000

- energy of formation from the pure elements (eV per atom) = -0.357
- crystal system = monoclinic
- total magnetic moment (μB/cell) = 0.0
- energy (eV/atom) = -4.431



The following is a DFT calculation (PBE) of Ac2SnRh2 after structural relaxation.

a = 6.0597 Å, b = 6.0597 Å, c = 8.3883 Å
α = 77.17°, β = 77.17°, γ = 59.02°
Element x y z (fractional)
Sn  0.1421  0.8579  0.2500
Sn  0.8579  0.1421  0.7500
Ac  0.2025  0.5027  0.6493
Ac  0.4973  0.7975  0.8507
Ac  0.5027  0.2025  0.1493
Ac  0.7975  0.4973  0.3507
Rh  0.7296  0.9991  0.5017
Rh  0.0009  0.2704  0.9983
Rh  0.9991  0.7296  0.0017
Rh  0.2704  0.0009  0.4983

- energy of formation from the pure elements (eV per atom) = -0.755
- crystal system = monoclinic
- total magnetic moment (μB/cell) = 0.0
- energy (eV/atom) = -6.140



> Which of these has the highest total magnetic moment?

Er3RuO6



> Among the records above, which one has the highest energy?

Zn3PH



> Look up the energy of the first one.

-1.856 eV/atom